## TmZnCrO4 (GGA+U)

Data for a relaxed TmZnCrO4 crystal.

The structure belongs to space group Imma (No. 74); the cell edges are 6.1490, 6.4377 and 8.7843 Å and the angles 90.00°, 90.00° and 90.00°. Symmetry generates all atoms from Tm at (0.0000, 0.0000, 0.0000), Zn at (0.0000, 0.2500, 0.3823), Cr at (0.2500, 0.2500, 0.7500), O at (0.0000, 0.0309, 0.7477) and O at (0.2411, 0.2500, 0.9829).

The energy comes out at -7.078 eV/atom.